Entry 1:
VASP calculation (PBE-GGA) on a relaxed structure of MgZrRh2.

a = 8.351 Å, b = 8.351 Å, c = 8.351 Å
α = 21.85°, β = 21.85°, γ = 21.85°
Fractional positions:
Mg 0.750 0.750 0.750
Rh 0.998 0.998 0.998
Zr 0.250 0.250 0.250
Rh 0.502 0.502 0.502

Properties
Crystal system: trigonal
DFT total energy: -6.629 eV per atom
Formation energy: -0.418 eV/atom
N(E_F): 2.417 states/eV/f.u.

Entry 2:
VASP calculation (PBE-GGA) on a relaxed structure of Be2WSe.

a = 2.699 Å, b = 2.699 Å, c = 8.234 Å
α = 90.00°, β = 90.00°, γ = 102.80°
Fractional positions:
Be 0.000 0.000 0.538
Be 0.000 0.000 0.962
W 0.500 0.500 0.750
Se 0.500 0.500 0.250

Properties
Crystal system: orthorhombic
DFT total energy: -5.540 eV per atom
E_form (uncorrected): 0.432 eV per atom
N(E_F): 1.651 states/eV/f.u.

Entry 3:
VASP calculation (PBE-GGA) on a relaxed structure of DyMg3Hg.

a = 3.841 Å, b = 9.761 Å, c = 13.025 Å
α = 90.00°, β = 90.00°, γ = 90.00°
Fractional positions:
Dy 0.250 0.657 0.497
Dy 0.250 0.157 0.003
Dy 0.750 0.843 0.997
Hg 0.250 0.646 0.874
Dy 0.750 0.343 0.503
Mg 0.750 0.429 0.912
Mg 0.750 0.661 0.708
Mg 0.750 0.929 0.588
Mg 0.250 0.415 0.715
Mg 0.250 0.071 0.412
Mg 0.250 0.915 0.785
Hg 0.750 0.354 0.126
Mg 0.250 0.339 0.292
Mg 0.750 0.085 0.215
Hg 0.250 0.146 0.626
Mg 0.250 0.839 0.208
Mg 0.750 0.585 0.285
Mg 0.250 0.571 0.088
Hg 0.750 0.854 0.374
Mg 0.750 0.161 0.792

Properties
Crystal system: orthorhombic
DFT total energy: -2.122 eV per atom
Formation energy: -0.185 eV/atom
N(E_F): 2.763 states/eV/f.u.

no.,magnetic moment (Bohr magnetons per cell)
1,0.0
2,0.0
3,0.0